## K2ErTlO4 (PBE)

Data for crystalline K2ErTlO4 at its relaxed geometry.

Computed properties:
Total moment, Bohr magnetons per cell: 0.00
Space-group type: P2/m
ΔE_f (raw), eV/atom: -1.90
Calculated volume, Å³ per atom: 16.26

Cell: 3.465 5.993 6.592 Å, 108.20 90.00 90.00°
Fractional positions:
K 0.500 0.000 0.500
K 0.000 0.500 0.500
Er 0.500 0.500 0.000
Tl 0.000 0.000 0.000
O 0.500 0.237 0.194
O 0.500 0.763 0.806
O 0.000 0.283 0.808
O 0.000 0.717 0.192